The following is a GGA-PBE calculation of a relaxed structure of B2RuBr, from Alexandria.

- Size of the total moment: 0.00 μB/f.u.
- Formation energy without anion corrections: 1941 meV/atom
- DOS(E_F): 11.53 states/eV per cell

Cell and atoms, written as CIF:
```
data_B2RuBr
_symmetry_space_group_name_H-M 'F m -3 m'
_symmetry_Int_Tables_number 225
_symmetry_space_group_name_Hall '-F 4 2 3'
_cell_length_a 5.722
_cell_length_b 5.722
_cell_length_c 5.722
_cell_angle_alpha 90.00
_cell_angle_beta 90.00
_cell_angle_gamma 90.00
loop_
_atom_site_label
_atom_site_type_symbol
_atom_site_fract_x
_atom_site_fract_y
_atom_site_fract_z
B1 B 0.250 0.250 0.250
Ru1 Ru 0.000 0.000 0.000
Br1 Br 0.000 0.000 0.500
```